# TePdIO2

An optimized crystal structure of TePdIO2 (PBE-GGA, Alexandria via LeMat-Bulk).

- Magnetic moment: 0.00 μB/f.u.
- Distance to the lowest polymorph of the same formula: 663 meV per atom
- Formation energy from raw total energies: 0.435 eV/atom
- Electronic total energy: -3.525 eV per atom

The structure in POSCAR format:
```
TePdIO2
1.0
4.2179 0.0000 0.0000
0.0000 4.2179 0.0000
0.0000 0.0000 5.3664
Te Pd I O
1 1 1 2
Direct
0.0000 0.0000 0.0000 Te
0.5000 0.5000 0.5000 Pd
0.5000 0.5000 0.0000 I
0.0000 0.5000 0.5000 O
0.5000 0.0000 0.5000 O
```